# 1
Material: Ca4ZrIn
Method: DFT, PBEsol
State: optimized geometry

Output
Calculated volume in Å³/f.u.: 186
Energy of formation from the pure elements in eV per formula unit: 2.97

abc: 6.403 6.403 6.403
angles: 60.00 60.00 60.00
Atoms (fractional coordinates):
Ca  0.125  0.125  0.125
Ca  0.125  0.125  0.626
Ca  0.125  0.626  0.125
Ca  0.626  0.125  0.125
Zr  0.750  0.750  0.750
In  0.500  0.500  0.500



# 2
Material: Be2CdOs
Method: DFT, PBEsol
State: optimized geometry

Output
Calculated volume in Å³/f.u.: 50
Energy of formation from the pure elements in eV per formula unit: 0.96

abc: 2.880 2.880 6.041
angles: 90.00 90.00 90.00
Atoms (fractional coordinates):
Be  0.000  0.000  0.000
Be  0.500  0.500  0.190
Cd  0.000  0.000  0.476
Os  0.500  0.500  0.817



# 3
Material: NiTeN2F
Method: DFT, PBEsol
State: optimized geometry

Output
Calculated volume in Å³/f.u.: 65
Energy relative to the elements, uncorrected in meV/atom: 1056.3

abc: 4.005 4.005 4.077
angles: 90.00 90.00 90.00
Atoms (fractional coordinates):
Ni  0.000  0.000  0.000
Te  0.500  0.500  0.500
N  0.000  0.500  0.500
N  0.500  0.000  0.500
F  0.500  0.500  0.000